No. 1
## Li4Ti3Nb3V2O16 (PBE+U)

Data for a relaxed structure of Li4Ti3Nb3V2O16.

Geometry as POSCAR:
```
Li4Ti3Nb3V2O16
1.0
5.273 -2.999 0.000
5.273 2.999 0.000
-0.043 0.000 10.025
Li Ti Nb V O
4 3 3 2 16
Direct
0.000 0.000 0.000 Li
0.002 0.002 0.499 Li
0.339 0.339 0.400 Li
0.676 0.676 0.893 Li
0.176 0.671 0.718 Ti
0.671 0.176 0.718 Ti
0.842 0.842 0.225 Ti
0.176 0.176 0.718 Nb
0.361 0.817 0.211 Nb
0.817 0.361 0.211 Nb
0.337 0.337 0.985 V
0.675 0.675 0.493 V
0.003 0.003 0.317 O
0.005 0.005 0.819 O
0.039 0.496 0.833 O
0.163 0.163 0.100 O
0.167 0.686 0.108 O
0.322 0.847 0.607 O
0.342 0.342 0.608 O
0.488 0.488 0.830 O
0.496 0.039 0.833 O
0.520 0.520 0.351 O
0.527 0.970 0.332 O
0.686 0.167 0.108 O
0.693 0.693 0.098 O
0.847 0.322 0.607 O
0.852 0.852 0.611 O
0.970 0.527 0.332 O
```

* raw total energy: -224.41 eV for the cell shown
* symmetry: No. 8

***

No. 2
## Li4Ti3Nb2V3O16 (PBE+U)

Data for a relaxed structure of Li4Ti3Nb2V3O16.

Geometry as POSCAR:
```
Li4Ti3Nb2V3O16
1.0
5.235 -2.988 0.000
5.235 2.988 0.000
-0.018 0.000 9.824
Li Ti Nb V O
4 3 2 3 16
Direct
0.000 0.000 0.000 Li
0.004 0.004 0.496 Li
0.346 0.346 0.410 Li
0.675 0.675 0.909 Li
0.172 0.661 0.727 Ti
0.661 0.172 0.727 Ti
0.831 0.831 0.238 Ti
0.336 0.336 0.003 Nb
0.665 0.665 0.503 Nb
0.179 0.179 0.719 V
0.355 0.829 0.218 V
0.829 0.355 0.218 V
0.002 0.002 0.309 O
0.003 0.003 0.813 O
0.044 0.502 0.850 O
0.172 0.172 0.094 O
0.176 0.666 0.100 O
0.338 0.832 0.599 O
0.351 0.351 0.612 O
0.488 0.488 0.845 O
0.502 0.044 0.850 O
0.529 0.529 0.354 O
0.534 0.975 0.351 O
0.666 0.176 0.100 O
0.690 0.690 0.110 O
0.832 0.338 0.599 O
0.840 0.840 0.605 O
0.975 0.534 0.351 O
```

* raw total energy: -222.41 eV for the cell shown
* symmetry: No. 8